The following is a PBE with a Hubbard U calculation of a relaxed Mn2CoCuF crystal, from Alexandria.

a = 4.8076 Å, b = 4.2500 Å, c = 4.8076 Å
α = 90.00°, β = 90.00°, γ = 90.00°
With the nearest neighbours (Å) after each atom.
Element x y z (fractional)
Mn 0.0000 0.0000 0.5000  2 Co 2.40
Mn 0.5000 0.0000 0.0000  2 Co 2.40
Co 0.0000 0.0000 0.0000  2 Cu 2.12
Cu 0.0000 0.5000 0.0000  2 Co 2.12
F 0.5000 0.5000 0.5000  8 Mn 3.21, 4 Cu 3.40

Results
As for the calculated volume: 98.2 Å³/cell. The calculation puts the magnetic moment at 2.21 μB per atom. The uncorrected energy comes out at -0.1703 Ha/atom.